i:
A plane-wave DFT calculation with GGA-PBE was carried out for crystalline Ti2HgIr2 at its relaxed geometry.

a b c (Å): 4.180 4.180 6.108
angles (deg): 69.99 69.99 90.00
Atoms (fractional coordinates):
Ti 0.250 0.750 0.500
Ti 0.750 0.250 0.500
Hg 0.000 0.000 0.000
Ir 0.381 0.381 0.238
Ir 0.619 0.619 0.762

Properties
Mass density = 12.1 g/cm³
Magnetization = 0.00 Bohr magnetons per cell

ii:
A plane-wave DFT calculation with GGA-PBE was carried out for crystalline Ti2HgIr2 at its relaxed geometry.

a b c (Å): 7.664 7.664 2.899
angles (deg): 90.00 90.00 90.00
Atoms (fractional coordinates):
Ir 0.639 0.861 0.500
Ti 0.353 0.853 0.000
Ir 0.139 0.639 0.500
Hg 0.500 0.500 0.000
Ti 0.147 0.353 0.000
Ir 0.861 0.361 0.500
Ti 0.853 0.647 0.000
Hg 0.000 0.000 0.000
Ir 0.361 0.139 0.500
Ti 0.647 0.147 0.000

Properties
Mass density = 13.3 g/cm³
Magnetization = 0.00 Bohr magnetons per cell

iii:
A plane-wave DFT calculation with GGA-PBE was carried out for crystalline Ti2HgIr2 at its relaxed geometry.

a b c (Å): 7.541 7.541 2.947
angles (deg): 90.00 90.00 90.00
Atoms (fractional coordinates):
Hg 0.000 0.000 0.000
Ir 0.136 0.364 0.000
Ir 0.364 0.864 0.000
Hg 0.500 0.500 0.000
Ti 0.657 0.843 0.500
Ir 0.864 0.636 0.000
Ti 0.843 0.343 0.500
Ti 0.343 0.157 0.500
Ir 0.636 0.136 0.000
Ti 0.157 0.657 0.500

Properties
Mass density = 13.5 g/cm³
Magnetization = 0.00 Bohr magnetons per cell

So which one wins? Going from most stable to least: iii, ii, i.

i:
A plane-wave DFT calculation with GGA-PBE was carried out for crystalline TlHgIr2 at its relaxed geometry.

a b c (Å): 5.568 5.568 5.568
angles (deg): 148.55 124.73 64.99
Atoms (fractional coordinates):
Hg 0.750 0.250 0.500
Ir 0.498 0.498 0.000
Tl 0.250 0.750 0.500
Ir 0.002 0.002 0.000

Properties
Mass density = 17.9 g/cm³
Magnetization = 0.00 Bohr magnetons per cell

ii:
A plane-wave DFT calculation with GGA-PBE was carried out for crystalline TlHgIr2 at its relaxed geometry.

a b c (Å): 4.690 4.690 4.690
angles (deg): 60.00 60.00 60.00
Atoms (fractional coordinates):
Tl 0.750 0.750 0.750
Hg 0.500 0.500 0.500
Ir 0.250 0.250 0.250
Ir 0.000 0.000 0.000

Properties
Mass density = 18.0 g/cm³
Magnetization = 0.26 Bohr magnetons per cell

iii:
A plane-wave DFT calculation with GGA-PBE was carried out for crystalline TlHgIr2 at its relaxed geometry.

a b c (Å): 4.834 4.834 4.834
angles (deg): 125.90 125.90 80.05
Atoms (fractional coordinates):
Tl 0.250 0.750 0.500
Hg 0.750 0.250 0.500
Ir 0.500 0.500 0.000
Ir 0.000 0.000 0.000

Properties
Mass density = 18.3 g/cm³
Magnetization = 0.00 Bohr magnetons per cell

So which one wins? Going from most stable to least: iii, i, ii.